No. 1
! Li4AlHg | the Alexandria database | PBE | relaxed; values from VASP
&SYSTEM
  ibrav = 0, nat = 6, ntyp = 3
/
ATOMIC_SPECIES
Li 6.94 Li.upf
Al 26.98 Al.upf
Hg 200.59 Hg.upf
CELL_PARAMETERS angstrom
0.000 3.668 3.668
3.668 0.000 3.668
3.668 3.668 0.000
ATOMIC_POSITIONS angstrom
Li 4.582 2.755 4.582
Li 2.755 4.582 4.582
Li 4.582 4.582 2.755
Li 2.755 2.755 2.755
Al 5.503 5.503 5.503
Hg 0.000 0.000 0.000
! * crystal system: cubic
! * SG: F-43m, No. 216
! * spin magnetization: 0.00 μB per cell
! * N(E_F): 2.6 states/eV per cell
! * energy relative to the elements: -0.05 eV per atom



No. 2
! LiAlHg2 | the Alexandria database | PBE | relaxed; values from VASP
&SYSTEM
  ibrav = 0, nat = 4, ntyp = 3
/
ATOMIC_SPECIES
Li 6.94 Li.upf
Al 26.98 Al.upf
Hg 200.59 Hg.upf
CELL_PARAMETERS angstrom
-6.166 -1.489 1.220
3.597 -1.639 -5.109
6.369 -0.908 0.575
ATOMIC_POSITIONS angstrom
Li 0.000 0.000 0.000
Al 4.983 -1.274 -2.267
Hg 2.480 -0.634 -1.128
Hg 7.486 -1.914 -3.405
! * crystal system: orthorhombic
! * SG: Immm, No. 71
! * spin magnetization: 0.00 μB per cell
! * N(E_F): 1.8 states/eV per cell
! * energy relative to the elements: 0.13 eV per atom



No. 3
! Li3AlHg4 | the Alexandria database | PBE | relaxed; values from VASP
&SYSTEM
  ibrav = 0, nat = 8, ntyp = 3
/
ATOMIC_SPECIES
Hg 200.59 Hg.upf
Al 26.98 Al.upf
Li 6.94 Li.upf
CELL_PARAMETERS angstrom
-0.018 3.394 -0.350
-1.444 0.310 3.076
11.811 0.629 5.480
ATOMIC_POSITIONS angstrom
Hg 10.243 0.546 4.753
Hg 1.568 0.084 0.728
Hg 4.447 0.237 2.063
Hg 7.365 0.392 3.417
Al -0.731 1.852 1.363
Li 2.229 2.010 2.736
Li 5.175 2.167 4.103
Li 8.121 2.324 5.470
! * crystal system: tetragonal
! * SG: P4/mmm, No. 123
! * spin magnetization: 0.00 μB per cell
! * N(E_F): 2.5 states/eV per cell
! * energy relative to the elements: -0.25 eV per atom



No. 4
! LiAlHg2 | the Alexandria database | PBE | relaxed; values from VASP
&SYSTEM
  ibrav = 0, nat = 4, ntyp = 3
/
ATOMIC_SPECIES
Li 6.94 Li.upf
Al 26.98 Al.upf
Hg 200.59 Hg.upf
CELL_PARAMETERS angstrom
3.656 0.000 0.000
1.828 3.166 0.000
1.828 1.055 7.399
ATOMIC_POSITIONS angstrom
Li 3.656 2.111 3.697
Al 5.484 3.166 7.399
Hg 1.828 1.055 5.524
Hg 1.828 1.055 1.879
! * crystal system: trigonal
! * SG: R3m, No. 160
! * spin magnetization: 0.00 μB per cell
! * N(E_F): 1.5 states/eV per cell
! * energy relative to the elements: -0.05 eV per atom



No. 5
! Li5Mg2AlHg2 | the Alexandria database | PBE | relaxed; values from VASP
&SYSTEM
  ibrav = 0, nat = 20, ntyp = 4
/
ATOMIC_SPECIES
Li 6.94 Li.upf
Mg 24.30 Mg.upf
Al 26.98 Al.upf
Hg 200.59 Hg.upf
CELL_PARAMETERS angstrom
3.629 0.000 0.000
0.000 10.382 0.000
0.000 0.000 10.382
ATOMIC_POSITIONS angstrom
Li 1.815 1.969 0.637
Li 1.815 8.413 9.745
Li 1.815 0.637 8.413
Li 1.815 7.160 4.554
Li 1.815 9.745 1.969
Li 1.815 3.222 5.828
Li 1.815 5.828 7.160
Li 1.815 4.554 3.222
Li 1.815 5.191 0.000
Li 1.815 0.000 5.191
Mg 0.000 6.962 1.771
Mg 0.000 3.420 8.611
Mg 0.000 1.771 3.420
Mg 0.000 8.611 6.962
Al 0.000 0.000 0.000
Al 0.000 5.191 5.191
Hg 0.000 1.371 6.562
Hg 0.000 9.011 3.820
Hg 0.000 6.562 9.011
Hg 0.000 3.820 1.371
! * crystal system: tetragonal
! * SG: P4/mbm, No. 127
! * spin magnetization: 0.00 μB per cell
! * N(E_F): 8.2 states/eV per cell
! * energy relative to the elements: -0.13 eV per atom



No. 6
! NaLiAlHg | the Alexandria database | PBE | relaxed; values from VASP
&SYSTEM
  ibrav = 0, nat = 4, ntyp = 4
/
ATOMIC_SPECIES
Na 22.99 Na.upf
Li 6.94 Li.upf
Hg 200.59 Hg.upf
Al 26.98 Al.upf
CELL_PARAMETERS angstrom
-2.184 -2.733 3.292
-3.060 -3.437 -1.378
1.212 -4.624 0.470
ATOMIC_POSITIONS angstrom
Na -1.008 -2.698 0.596
Li 0.000 0.000 0.000
Hg -3.024 -8.095 1.788
Al -2.016 -5.397 1.192
! * crystal system: cubic
! * SG: F-43m, No. 216
! * spin magnetization: 0.00 μB per cell
! * N(E_F): 1.9 states/eV per cell
! * energy relative to the elements: -0.12 eV per atom



No. 7
! LiNbAlHg2 | the Alexandria database | PBE | relaxed; values from VASP
&SYSTEM
  ibrav = 0, nat = 5, ntyp = 4
/
ATOMIC_SPECIES
Nb 92.91 Nb.upf
Li 6.94 Li.upf
Hg 200.59 Hg.upf
Al 26.98 Al.upf
CELL_PARAMETERS angstrom
5.422 0.000 0.000
0.000 5.091 0.000
0.000 0.000 5.422
ATOMIC_POSITIONS angstrom
Nb 0.000 0.000 0.000
Li 2.711 2.546 2.711
Hg 0.000 0.000 2.711
Hg 2.711 0.000 0.000
Al 0.000 2.546 0.000
! * crystal system: tetragonal
! * SG: P4/mmm, No. 123
! * spin magnetization: 0.01 μB per cell
! * N(E_F): 5.9 states/eV per cell
! * energy relative to the elements: 0.63 eV per atom



No. 8
! LiNdAlHg | the Alexandria database | PBE | relaxed; values from VASP
&SYSTEM
  ibrav = 0, nat = 4, ntyp = 4
/
ATOMIC_SPECIES
Li 6.94 Li.upf
Nd 144.24 Nd.upf
Hg 200.59 Hg.upf
Al 26.98 Al.upf
CELL_PARAMETERS angstrom
5.070 0.000 0.000
2.535 4.391 0.000
2.535 1.464 4.140
ATOMIC_POSITIONS angstrom
Li 0.000 0.000 0.000
Nd 5.070 2.927 2.070
Hg 7.605 4.391 3.105
Al 2.535 1.464 1.035
! * crystal system: cubic
! * SG: F-43m, No. 216
! * spin magnetization: 0.00 μB per cell
! * N(E_F): 1.6 states/eV per cell
! * energy relative to the elements: -0.32 eV per atom



No. 9
! LiAlHgPb | the Alexandria database | PBE | relaxed; values from VASP
&SYSTEM
  ibrav = 0, nat = 4, ntyp = 4
/
ATOMIC_SPECIES
Pb 207.20 Pb.upf
Li 6.94 Li.upf
Hg 200.59 Hg.upf
Al 26.98 Al.upf
CELL_PARAMETERS angstrom
-3.947 -1.728 -2.477
-1.116 -4.840 0.169
-4.018 -1.538 2.488
ATOMIC_POSITIONS angstrom
Pb -2.270 -2.027 0.045
Li 0.000 0.000 0.000
Hg -6.810 -6.080 0.135
Al -4.540 -4.053 0.090
! * crystal system: cubic
! * SG: F-43m, No. 216
! * spin magnetization: 0.00 μB per cell
! * N(E_F): 1.0 states/eV per cell
! * energy relative to the elements: -0.06 eV per atom



No. 10
! LiAlHgPd | the Alexandria database | PBE | relaxed; values from VASP
&SYSTEM
  ibrav = 0, nat = 4, ntyp = 4
/
ATOMIC_SPECIES
Li 6.94 Li.upf
Hg 200.59 Hg.upf
Pd 106.42 Pd.upf
Al 26.98 Al.upf
CELL_PARAMETERS angstrom
4.472 0.000 0.000
2.236 3.873 0.000
2.236 1.291 3.651
ATOMIC_POSITIONS angstrom
Li 0.000 0.000 0.000
Hg 6.708 3.873 2.738
Pd 2.236 1.291 0.913
Al 4.472 2.582 1.826
! * crystal system: cubic
! * SG: F-43m, No. 216
! * spin magnetization: 0.00 μB per cell
! * N(E_F): 2.1 states/eV per cell
! * energy relative to the elements: -0.43 eV per atom



No. 11
! LiPmAlHg | the Alexandria database | PBE | relaxed; values from VASP
&SYSTEM
  ibrav = 0, nat = 4, ntyp = 4
/
ATOMIC_SPECIES
Al 26.98 Al.upf
Li 6.94 Li.upf
Hg 200.59 Hg.upf
Pm 145.00 Pm.upf
CELL_PARAMETERS angstrom
-3.559 0.504 -3.535
-4.486 -2.221 0.604
-4.093 2.795 0.925
ATOMIC_POSITIONS angstrom
Al 0.000 0.000 0.000
Li -9.104 0.808 -1.505
Hg -6.069 0.539 -1.003
Pm -3.035 0.269 -0.502
! * crystal system: cubic
! * SG: F-43m, No. 216
! * spin magnetization: 0.00 μB per cell
! * N(E_F): 1.8 states/eV per cell
! * energy relative to the elements: -0.33 eV per atom



No. 12
! LiAlHgPt | the Alexandria database | PBE | relaxed; values from VASP
&SYSTEM
  ibrav = 0, nat = 4, ntyp = 4
/
ATOMIC_SPECIES
Li 6.94 Li.upf
Hg 200.59 Hg.upf
Pt 195.08 Pt.upf
Al 26.98 Al.upf
CELL_PARAMETERS angstrom
-2.496 1.938 -3.149
-4.046 -1.622 -0.952
-3.650 2.296 1.146
ATOMIC_POSITIONS angstrom
Li -5.096 1.306 -1.477
Hg -2.548 0.653 -0.739
Pt -7.644 1.959 -2.216
Al 0.000 0.000 0.000
! * crystal system: cubic
! * SG: F-43m, No. 216
! * spin magnetization: 0.00 μB per cell
! * N(E_F): 1.8 states/eV per cell
! * energy relative to the elements: -0.47 eV per atom



No. 13
! Li2AlHgPt | the Alexandria database | PBE | relaxed; values from VASP
&SYSTEM
  ibrav = 0, nat = 5, ntyp = 4
/
ATOMIC_SPECIES
Li 6.94 Li.upf
Hg 200.59 Hg.upf
Pt 195.08 Pt.upf
Al 26.98 Al.upf
CELL_PARAMETERS angstrom
4.868 0.000 0.000
0.000 4.559 0.000
0.000 0.000 4.868
ATOMIC_POSITIONS angstrom
Li 0.000 0.000 2.434
Li 2.434 0.000 0.000
Hg 2.434 2.279 2.434
Pt 0.000 2.279 0.000
Al 0.000 0.000 0.000
! * crystal system: tetragonal
! * SG: P4/mmm, No. 123
! * spin magnetization: 0.00 μB per cell
! * N(E_F): 2.4 states/eV per cell
! * energy relative to the elements: 0.10 eV per atom



No. 14
! LiAlHg2Ru | the Alexandria database | PBE | relaxed; values from VASP
&SYSTEM
  ibrav = 0, nat = 5, ntyp = 4
/
ATOMIC_SPECIES
Ru 101.07 Ru.upf
Li 6.94 Li.upf
Hg 200.59 Hg.upf
Al 26.98 Al.upf
CELL_PARAMETERS angstrom
5.064 0.000 0.000
0.000 4.583 0.000
0.000 0.000 5.064
ATOMIC_POSITIONS angstrom
Ru 0.000 2.292 0.000
Li 2.532 2.292 2.532
Hg 0.000 0.000 2.532
Hg 2.532 0.000 0.000
Al 0.000 0.000 0.000
! * crystal system: tetragonal
! * SG: P4/mmm, No. 123
! * spin magnetization: 0.68 μB per cell
! * N(E_F): 4.5 states/eV per cell
! * energy relative to the elements: 0.55 eV per atom



No. 15
! LiAlHg2S4 | the Alexandria database | PBE | relaxed; values from VASP
&SYSTEM
  ibrav = 0, nat = 8, ntyp = 4
/
ATOMIC_SPECIES
Li 6.94 Li.upf
Al 26.98 Al.upf
Hg 200.59 Hg.upf
S 32.06 S.upf
CELL_PARAMETERS angstrom
5.687 0.001 -0.003
-0.001 5.686 -0.003
-2.841 -2.841 5.731
ATOMIC_POSITIONS angstrom
Li 2.845 0.002 5.565
Al 2.845 2.845 2.699
Hg 0.002 2.845 5.565
Hg 0.002 0.001 2.702
S 1.632 1.493 4.076
S 4.197 1.631 1.324
S 1.491 4.057 1.324
S -1.628 -1.488 4.079
! * crystal system: tetragonal
! * electronic total energy: -3.544 eV per atom
! * SG: I-4, No. 82
! * spin magnetization: 0.00 μB per cell



No. 16
! LiAl2HgSe4 | the Alexandria database | PBE | relaxed; values from VASP
&SYSTEM
  ibrav = 0, nat = 8, ntyp = 4
/
ATOMIC_SPECIES
Li 6.94 Li.upf
Al 26.98 Al.upf
Hg 200.59 Hg.upf
Se 78.96 Se.upf
CELL_PARAMETERS angstrom
5.604 0.233 0.000
-0.233 5.604 0.000
-2.686 -2.918 6.697
ATOMIC_POSITIONS angstrom
Li 2.685 2.918 0.003
Al 2.802 0.116 3.349
Al -0.117 2.802 3.349
Hg 2.685 2.918 6.695
Se 1.211 1.316 4.768
Se 1.367 4.131 1.930
Se 4.003 1.705 1.930
Se -1.211 -1.316 4.768
! * crystal system: tetragonal
! * electronic total energy: -3.652 eV per atom
! * SG: I-42m, No. 121
! * spin magnetization: 0.00 μB per cell
! * N(E_F): 4.0 states/eV per cell



No. 17
! LiSmAlHg | the Alexandria database | PBE | relaxed; values from VASP
&SYSTEM
  ibrav = 0, nat = 4, ntyp = 4
/
ATOMIC_SPECIES
Li 6.94 Li.upf
Hg 200.59 Hg.upf
Sm 150.36 Sm.upf
Al 26.98 Al.upf
CELL_PARAMETERS angstrom
5.024 0.000 0.000
2.512 4.351 0.000
2.512 1.450 4.102
ATOMIC_POSITIONS angstrom
Li 2.512 1.450 1.025
Hg 5.024 2.900 2.051
Sm 7.536 4.351 3.076
Al 0.000 0.000 0.000
! * crystal system: cubic
! * SG: F-43m, No. 216
! * spin magnetization: 0.00 μB per cell
! * N(E_F): 2.1 states/eV per cell
! * energy relative to the elements: -0.33 eV per atom



No. 18
! SrLiAlHg | the Alexandria database | PBE | relaxed; values from VASP
&SYSTEM
  ibrav = 0, nat = 4, ntyp = 4
/
ATOMIC_SPECIES
Sr 87.62 Sr.upf
Li 6.94 Li.upf
Hg 200.59 Hg.upf
Al 26.98 Al.upf
CELL_PARAMETERS angstrom
-3.388 3.761 0.581
-4.692 -0.477 -1.929
-3.984 -0.619 3.115
ATOMIC_POSITIONS angstrom
Sr -3.016 0.666 0.442
Li 0.000 0.000 0.000
Hg -6.032 1.333 0.884
Al -9.048 1.999 1.326
! * crystal system: cubic
! * SG: F-43m, No. 216
! * spin magnetization: 0.00 μB per cell
! * N(E_F): 1.2 states/eV per cell
! * energy relative to the elements: -0.22 eV per atom



No. 19
! Sr2LiAlHg6 | the Alexandria database | PBE | relaxed; values from VASP
&SYSTEM
  ibrav = 0, nat = 10, ntyp = 4
/
ATOMIC_SPECIES
Sr 87.62 Sr.upf
Li 6.94 Li.upf
Al 26.98 Al.upf
Hg 200.59 Hg.upf
CELL_PARAMETERS angstrom
-1.151 6.288 3.534
-5.866 1.204 -4.183
-6.326 1.128 3.122
ATOMIC_POSITIONS angstrom
Sr -7.857 3.033 -0.703
Sr -5.487 5.588 3.176
Li -3.509 3.746 -0.324
Al 0.000 0.000 0.000
Hg -4.652 2.513 -2.196
Hg -11.530 6.694 2.635
Hg -4.889 2.489 1.347
Hg -2.365 4.980 1.548
Hg -1.813 1.927 -0.162
Hg -8.455 6.132 1.126
! * crystal system: monoclinic
! * SG: C2/m, No. 12
! * spin magnetization: 0.00 μB per cell
! * N(E_F): 4.2 states/eV per cell
! * energy relative to the elements: -0.26 eV per atom



No. 20
! SrLi2AlHg4 | the Alexandria database | PBE | relaxed; values from VASP
&SYSTEM
  ibrav = 0, nat = 8, ntyp = 4
/
ATOMIC_SPECIES
Sr 87.62 Sr.upf
Li 6.94 Li.upf
Al 26.98 Al.upf
Hg 200.59 Hg.upf
CELL_PARAMETERS angstrom
-3.155 -1.609 2.980
1.270 -2.907 3.370
1.127 6.300 8.188
ATOMIC_POSITIONS angstrom
Sr 0.000 0.000 0.000
Li -0.686 0.816 10.497
Li -0.072 0.968 4.041
Al -0.379 0.892 7.269
Hg 0.151 3.248 9.101
Hg -1.215 -1.540 8.664
Hg 0.458 3.324 5.873
Hg -0.909 -1.464 5.436
! * crystal system: trigonal
! * SG: R-3m, No. 166
! * spin magnetization: 0.00 μB per cell
! * N(E_F): 3.9 states/eV per cell
! * energy relative to the elements: -0.31 eV per atom